[1]
Density functional theory data (GGA-PBE) for crystalline Zn2InReBi at its relaxed geometry.

## Properties
Crystal system   tetragonal
E_tot   -2.6144 eV per atom
Density   6.44 Mg/m³

abc: 5.2707 5.2707 5.9506
angles: 90.00 90.00 90.00
Space group P4/mmm (No. 123)
Symmetry-distinct sites (fractional):
Zn  0.0000  0.5000  0.0000 (multiplicity 2)
In  0.0000  0.0000  0.5000 (multiplicity 1)
Re  0.5000  0.5000  0.5000 (multiplicity 1)
Bi  0.0000  0.0000  0.0000 (multiplicity 1)

---

[2]
Density functional theory data (GGA-PBE) for crystalline InBi3Rh3 at its relaxed geometry.

## Properties
Crystal system   trigonal
E_tot   -5.2862 eV per atom
Density   11.53 Mg/m³

abc: 8.8107 8.8107 6.7487
angles: 90.00 90.00 120.00
Space group R3m (No. 160, hexagonal axes)
Symmetry-distinct sites (fractional):
In  0.0000  0.0000  0.0000 (multiplicity 3)
Bi  0.2005  0.4010  0.2272 (multiplicity 9)
Rh  0.1679  0.3357  0.8224 (multiplicity 9)

---

[3]
Density functional theory data (GGA-PBE) for crystalline InBi5Rh3 at its relaxed geometry.

## Properties
Crystal system   monoclinic
E_tot   -4.9849 eV per atom
Density   10.11 Mg/m³

abc: 11.6924 9.2830 10.2041
angles: 90.00 119.46 90.00
Space group C2/m (No. 12)
Symmetry-distinct sites (fractional):
In  0.0722  0.0000  0.2930 (multiplicity 4)
Bi  0.0000  0.2988  0.0000 (multiplicity 4)
Bi  0.0615  0.5000  0.3687 (multiplicity 4)
Bi  0.1818  0.2200  0.6170 (multiplicity 8)
Bi  0.2395  0.0000  0.0123 (multiplicity 4)
Rh  0.0000  0.0000  0.0000 (multiplicity 2)
Rh  0.0000  0.0000  0.5000 (multiplicity 2)
Rh  0.1808  0.5000  0.1947 (multiplicity 4)
Rh  0.1923  0.5000  0.7018 (multiplicity 4)

---

[4]
Density functional theory data (GGA-PBE) for crystalline In3BiRh at its relaxed geometry.

## Properties
Crystal system   cubic
ΔE to the lowest computed polymorph   0.00 kcal/mol of atoms
Density   7.88 Mg/m³

abc: 5.1707 5.1707 5.1707
angles: 90.00 90.00 90.00
Space group Pm-3m (No. 221)
Symmetry-distinct sites (fractional):
In  0.0000  0.0000  0.5000 (multiplicity 3)
Bi  0.5000  0.5000  0.5000 (multiplicity 1)
Rh  0.0000  0.0000  0.0000 (multiplicity 1)

---

[5]
Density functional theory data (GGA-PBE) for crystalline In2BiRh2 at its relaxed geometry.

## Properties
Crystal system   tetragonal
ΔE to the lowest computed polymorph   3.59 kcal/mol of atoms
Density   10.21 Mg/m³

abc: 4.0361 4.0361 12.8650
angles: 90.00 90.00 90.00
Space group I4/mmm (No. 139)
Symmetry-distinct sites (fractional):
In  0.0000  0.5000  0.2500 (multiplicity 4)
Bi  0.0000  0.0000  0.0000 (multiplicity 2)
Rh  0.0000  0.0000  0.3962 (multiplicity 4)

---

[6]
Density functional theory data (GGA-PBE) for crystalline In2BiRh2 at its relaxed geometry.

## Properties
Crystal system   tetragonal
ΔE to the lowest computed polymorph   1.99 kcal/mol of atoms
Density   10.68 Mg/m³

abc: 8.0346 8.0346 3.1039
angles: 90.00 90.00 90.00
Space group P4/mbm (No. 127)
Symmetry-distinct sites (fractional):
In  0.1346  0.3654  0.0000 (multiplicity 4)
Bi  0.0000  0.0000  0.0000 (multiplicity 2)
Rh  0.1589  0.6589  0.5000 (multiplicity 4)

---

[7]
Density functional theory data (GGA-PBE) for crystalline In2BiRh at its relaxed geometry.

## Properties
Crystal system   tetragonal
E_tot   -3.8488 eV per atom
Density   6.84 Mg/m³

abc: 6.2362 6.2362 13.5152
angles: 90.00 90.00 90.00
Space group I-42d (No. 122)
Symmetry-distinct sites (fractional):
In  0.1945  0.2500  0.1250 (multiplicity 8)
Bi  0.0000  0.0000  0.5000 (multiplicity 4)
Rh  0.0000  0.0000  0.0000 (multiplicity 4)

---

[8]
Density functional theory data (GGA-PBE) for crystalline InBi12Rh4 at its relaxed geometry.

## Properties
Crystal system   cubic
E_tot   -4.7822 eV per atom
Density   10.62 Mg/m³

abc: 9.8253 9.8253 9.8253
angles: 90.00 90.00 90.00
Space group Im-3 (No. 204)
Symmetry-distinct sites (fractional):
In  0.0000  0.0000  0.0000 (multiplicity 2)
Bi  0.0000  0.3350  0.1586 (multiplicity 24)
Rh  0.2500  0.2500  0.2500 (multiplicity 8)